(1)
AcSmC2O8 | PBE | optimized geometry

Computed properties:
As for the calculated density: 6446 kg/m3. For the total energy, the calculation gives -7.571 eV per atom. The calculation puts the formation energy from raw total energies at -1.9926 eV per atom.

abc: 4.947 4.943 7.047
angles: 69.43 69.45 59.98
Site moments in Bohr magnetons follow the coordinates.
Atoms (fractional coordinates):
O1 0.085 0.084 0.289  0.18
O2 0.333 0.334 0.001  0.34
O3 0.916 0.458 0.711  0.18
O4 0.542 0.084 0.289  0.18
O5 0.084 0.542 0.289  0.18
O6 0.458 0.916 0.711  0.18
O7 0.915 0.916 0.711  0.18
O8 0.667 0.666 0.999  0.34
Ac1 0.500 0.500 0.500  -0.01
Sm1 0.000 0.000 0.000  -0.01
C1 0.260 0.260 0.219  -0.02
C2 0.740 0.740 0.781  -0.02

(2)
CdSn3P | PBE | optimized geometry

Computed properties:
As for the calculated density: 5577 kg/m3. For the total energy, the calculation gives -3.255 eV per atom. For the energy above the most stable polymorph in this dataset, the calculation gives 0.00 eV/f.u. For the formation energy, the calculation gives 39.70 kJ/mol of atoms.

abc: 5.298 5.298 5.298
angles: 90.00 90.00 90.00
Atoms (fractional coordinates):
Sn1 0.000 0.000 0.500
Sn2 0.500 0.000 0.000
Sn3 0.000 0.500 0.000
P1 0.000 0.000 0.000
Cd1 0.500 0.500 0.500

(3)
Nd3NiTe | PBE | optimized geometry

Computed properties:
As for the calculated density: 7144 kg/m3. For the total energy, the calculation gives -5.335 eV per atom. The calculation puts the formation energy from raw total energies at -0.6898 eV per atom. For the energy above the most stable polymorph in this dataset, the calculation gives 0.00 eV/f.u.

abc: 4.086 8.849 8.230
angles: 104.76 90.00 90.00
Atoms (fractional coordinates):
Nd1 0.250 0.591 0.317
Nd2 0.750 0.409 0.683
Nd3 0.250 0.063 0.699
Nd4 0.250 0.741 0.924
Nd5 0.750 0.937 0.301
Nd6 0.750 0.259 0.076
Ni1 0.250 0.418 0.940
Ni2 0.750 0.582 0.060
Te1 0.250 0.234 0.386
Te2 0.750 0.766 0.614

(4)
DyEr6In | PBE | optimized geometry

Computed properties:
As for the calculated density: 8893 kg/m3. For the total energy, the calculation gives -4.284 eV per atom. For the energy above the most stable polymorph in this dataset, the calculation gives 1.36 eV/f.u. For the formation energy, the calculation gives 5.37 kJ/mol of atoms.

abc: 6.540 6.540 9.181
angles: 110.62 110.62 120.37
Atoms (fractional coordinates):
Dy1 0.500 0.500 0.500
Er1 0.322 0.757 0.751
Er2 0.678 0.243 0.249
Er3 0.811 0.811 0.248
Er4 0.189 0.189 0.752
Er5 0.243 0.678 0.249
Er6 0.757 0.322 0.751
In1 0.000 0.000 0.000

(5)
K4U3VN8 | PBE | optimized geometry

Computed properties:
As for the calculated density: 6599 kg/m3. For the total energy, the calculation gives -7.973 eV per atom. The calculation puts the formation energy from raw total energies at -0.8495 eV per atom.

abc: 6.867 7.502 6.868
angles: 117.25 119.99 90.00
Site moments in Bohr magnetons follow the coordinates.
Atoms (fractional coordinates):
N1 0.775 0.340 0.550  -0.04
N2 0.290 0.340 0.065  -0.04
N3 0.710 0.660 0.935  -0.04
N4 0.278 0.335 0.556  -0.02
N5 0.225 0.660 0.935  -0.04
N6 0.722 0.665 0.444  -0.02
N7 0.225 0.660 0.450  -0.04
N8 0.775 0.340 0.065  -0.04
U1 0.500 0.500 0.000  0.37
U2 0.500 0.500 0.500  0.37
U3 0.000 0.500 0.500  0.37
V1 0.000 0.500 0.000  1.85
K1 0.500 0.000 0.500  0.01
K2 0.000 0.000 0.000  0.01
K3 0.000 0.000 0.500  0.01
K4 0.500 0.000 0.000  0.01

(6)
Tb2DySi2 | PBE | optimized geometry

Computed properties:
As for the calculated density: 7303 kg/m3. For the total energy, the calculation gives -5.549 eV per atom. The calculation puts the formation energy from raw total energies at -0.6073 eV per atom. For the energy above the most stable polymorph in this dataset, the calculation gives 0.49 eV/f.u.

abc: 4.309 6.458 9.654
angles: 77.64 77.10 70.51
Atoms (fractional coordinates):
Si1 0.978 0.147 0.896
Si2 0.022 0.853 0.104
Si3 0.889 0.662 0.559
Si4 0.111 0.338 0.441
Tb1 0.516 0.656 0.312
Tb2 0.680 0.727 0.912
Tb3 0.484 0.344 0.688
Tb4 0.320 0.273 0.088
Dy1 0.779 0.081 0.361
Dy2 0.221 0.919 0.639

(7)
Li2LaPm | PBE | optimized geometry

Computed properties:
As for the calculated density: 4224 kg/m3. For the total energy, the calculation gives -3.226 eV per atom. For the energy above the most stable polymorph in this dataset, the calculation gives 0.00 eV/f.u. For the formation energy, the calculation gives 14.56 kJ/mol of atoms.

abc: 3.475 3.475 11.374
angles: 81.21 81.21 60.00
Atoms (fractional coordinates):
Li1 0.252 0.252 0.245
Li2 0.082 0.082 0.755
La1 0.499 0.499 0.503
Pm1 0.668 0.668 0.997

(8)
Tb8CoPt2 | PBE | optimized geometry

Computed properties:
As for the calculated density: 9472 kg/m3. For the total energy, the calculation gives -5.519 eV per atom. For the formation energy, the calculation gives -39.30 kJ/mol of atoms.

abc: 6.162 7.509 7.509
angles: 111.03 101.99 101.99
Atoms (fractional coordinates):
Tb1 0.590 0.347 0.086
Tb2 0.359 0.924 0.663
Tb3 0.359 0.663 0.924
Tb4 0.590 0.086 0.347
Tb5 0.987 0.193 0.805
Tb6 0.801 0.648 0.648
Tb7 0.174 0.355 0.355
Tb8 0.987 0.805 0.193
Pt1 0.484 0.324 0.691
Pt2 0.484 0.691 0.324
Co1 0.186 0.997 0.997

(9)
CaPt2F | PBE | optimized geometry

Computed properties:
As for the calculated density: 9943 kg/m3. For the total energy, the calculation gives -5.297 eV per atom. The calculation puts the formation energy from raw total energies at -1.3084 eV per atom. For the energy above the most stable polymorph in this dataset, the calculation gives 0.00 eV/f.u.

abc: 3.603 3.603 11.840
angles: 81.25 81.25 90.00
Atoms (fractional coordinates):
Pt1 0.624 0.125 0.250
Pt2 0.875 0.874 0.750
Pt3 0.375 0.376 0.750
Pt4 0.126 0.625 0.250
F1 0.500 0.500 0.000
F2 0.250 0.750 0.500
Ca1 0.750 0.250 0.500
Ca2 0.000 0.000 0.000

(10)
NdGdTlPb | PBE | optimized geometry

Computed properties:
As for the calculated density: 10044 kg/m3. For the total energy, the calculation gives -6.642 eV per atom. For the formation energy, the calculation gives -39.66 kJ/mol of atoms.

abc: 5.504 5.504 5.504
angles: 60.00 60.00 60.00
Site moments in Bohr magnetons follow the coordinates.
Atoms (fractional coordinates):
Gd1 0.250 0.250 0.250  7.03
Pb1 0.500 0.500 0.500  -0.03
Tl1 0.000 0.000 0.000  -0.02
Nd1 0.750 0.750 0.750  0.02

(11)
Cs2Zn | PBE | optimized geometry

Computed properties:
As for the calculated density: 2713 kg/m3. For the total energy, the calculation gives -0.839 eV per atom. For the formation energy, the calculation gives 14.91 kJ/mol of atoms.

abc: 4.796 4.796 9.452
angles: 104.78 104.78 89.98
Atoms (fractional coordinates):
Cs1 0.873 0.873 0.746
Cs2 0.127 0.127 0.254
Zn1 0.500 0.500 0.000

(12)
Rb2SrN | PBE | optimized geometry

Computed properties:
As for the calculated density: 2319 kg/m3. For the total energy, the calculation gives -2.707 eV per atom. The calculation puts the formation energy from raw total energies at 0.2782 eV per atom.

abc: 12.864 12.864 9.397
angles: 46.81 46.81 90.00
Atoms (fractional coordinates):
N1 0.500 0.500 0.000
N2 0.250 0.750 0.500
Rb1 0.375 0.554 0.750
Rb2 0.446 0.125 0.250
Rb3 0.304 0.625 0.250
Rb4 0.875 0.696 0.750
Sr1 0.750 0.250 0.500
Sr2 0.000 0.000 0.000

(13)
Zr2AlSe | PBE | optimized geometry

Computed properties:
As for the calculated density: 6061 kg/m3. For the total energy, the calculation gives -6.494 eV per atom. The calculation puts the formation energy from raw total energies at -0.4133 eV per atom. For the energy above the most stable polymorph in this dataset, the calculation gives 1.12 eV/f.u.

abc: 5.604 5.604 5.604
angles: 137.63 137.63 61.46
Atoms (fractional coordinates):
Se1 0.750 0.250 0.500
Al1 0.500 0.500 0.000
Zr1 0.250 0.750 0.500
Zr2 0.000 0.000 0.000

(14)
HfBeGaTe2 | PBE | optimized geometry

Computed properties:
As for the calculated density: 7656 kg/m3. For the total energy, the calculation gives -4.267 eV per atom. The calculation puts the formation energy from raw total energies at 0.3310 eV per atom. For the energy above the most stable polymorph in this dataset, the calculation gives 0.00 eV/f.u.

abc: 5.173 4.153 5.173
angles: 90.00 90.00 90.00
Atoms (fractional coordinates):
Ga1 0.000 0.500 0.000
Te1 0.500 0.000 0.000
Te2 0.000 0.000 0.500
Hf1 0.500 0.500 0.500
Be1 0.000 0.000 0.000

(15)
KZrCo2 | PBE | optimized geometry

Computed properties:
As for the calculated density: 5104 kg/m3. For the total energy, the calculation gives -5.337 eV per atom. For the energy above the most stable polymorph in this dataset, the calculation gives 0.90 eV/f.u. For the formation energy, the calculation gives 60.56 kJ/mol of atoms.

abc: 9.111 9.111 9.111
angles: 20.44 20.44 20.44
Site moments in Bohr magnetons follow the coordinates.
Atoms (fractional coordinates):
Co1 0.017 0.017 0.017  0.89
Co2 0.483 0.483 0.483  0.89
K1 0.250 0.250 0.250  -0.01
Zr1 0.750 0.750 0.750  -0.20

(16)
Al2Ga5 | PBE | optimized geometry

Computed properties:
As for the calculated density: 5169 kg/m3. For the total energy, the calculation gives -3.175 eV per atom. For the energy above the most stable polymorph in this dataset, the calculation gives 0.09 eV/f.u. For the formation energy, the calculation gives 5.48 kJ/mol of atoms.

abc: 4.762 4.762 7.136
angles: 70.51 70.51 60.00
Atoms (fractional coordinates):
Ga1 0.072 0.072 0.784
Ga2 0.500 0.500 0.500
Ga3 0.782 0.782 0.655
Ga4 0.218 0.218 0.345
Ga5 0.928 0.928 0.216
Al1 0.640 0.640 0.079
Al2 0.360 0.360 0.921

(17)
Na2Tl2GeO6 | PBE | optimized geometry

Computed properties:
As for the calculated density: 6632 kg/m3. For the total energy, the calculation gives -4.993 eV per atom. The calculation puts the formation energy from raw total energies at -1.1989 eV per atom.

abc: 5.621 5.621 5.913
angles: 98.65 98.65 118.98
Atoms (fractional coordinates):
O1 0.350 0.055 0.700
O2 0.055 0.350 0.700
O3 0.650 0.945 0.300
O4 0.220 0.220 0.304
O5 0.780 0.780 0.696
O6 0.945 0.650 0.300
Na1 0.840 0.160 0.000
Na2 0.160 0.840 0.000
Tl1 0.335 0.665 0.500
Tl2 0.665 0.335 0.500
Ge1 0.000 0.000 0.500

(18)
Y5Er2Sc | PBE | optimized geometry

Computed properties:
As for the calculated density: 5434 kg/m3. For the total energy, the calculation gives -5.843 eV per atom. For the energy above the most stable polymorph in this dataset, the calculation gives 0.95 eV/f.u. For the formation energy, the calculation gives 12.51 kJ/mol of atoms.

abc: 5.447 6.515 15.622
angles: 90.00 90.00 114.71
Atoms (fractional coordinates):
Er1 0.778 0.556 0.136
Er2 0.778 0.556 0.364
Er3 0.222 0.444 0.636
Er4 0.222 0.444 0.864
Y1 0.923 0.846 0.902
Y2 0.622 0.244 0.548
Y3 0.535 0.070 0.250
Y4 0.465 0.930 0.750
Y5 0.077 0.154 0.402
Y6 0.378 0.756 0.452
Y7 0.622 0.244 0.952
Y8 0.077 0.154 0.098
Y9 0.378 0.756 0.048
Y10 0.923 0.846 0.598
Sc1 0.733 0.465 0.750
Sc2 0.267 0.535 0.250

(19)
Na4NiCl5 | PBE | optimized geometry

Computed properties:
As for the calculated density: 2542 kg/m3. For the total energy, the calculation gives -3.418 eV per atom. The calculation puts the formation energy from raw total energies at -1.3884 eV per atom.

abc: 5.669 6.769 6.769
angles: 79.90 65.25 65.25
Site moments in Bohr magnetons follow the coordinates.
Atoms (fractional coordinates):
Na1 0.404 0.393 0.801  0.00
Na2 0.797 0.801 0.607  0.00
Na3 0.597 0.607 0.199  0.00
Na4 0.205 0.199 0.393  0.00
Cl1 0.475 0.000 0.000  0.02
Cl2 0.720 0.191 0.366  0.01
Cl3 0.087 0.634 0.191  0.01
Cl4 0.911 0.366 0.809  0.01
Cl5 0.277 0.809 0.634  0.01
Ni1 0.038 0.000 0.000  0.91

(20)
PrTm3B4O12 | PBE | optimized geometry

Computed properties:
As for the calculated density: 5886 kg/m3. For the total energy, the calculation gives -8.327 eV per atom. The calculation puts the formation energy from raw total energies at -3.1066 eV per atom.

abc: 6.481 6.481 6.481
angles: 102.57 102.57 102.57
Atoms (fractional coordinates):
O1 0.972 0.183 0.368
O2 0.183 0.368 0.972
O3 0.500 0.097 0.903
O4 0.817 0.028 0.632
O5 0.097 0.903 0.500
O6 0.028 0.632 0.817
O7 0.903 0.500 0.097
O8 0.368 0.972 0.183
O9 0.637 0.500 0.363
O10 0.632 0.817 0.028
O11 0.500 0.363 0.637
O12 0.363 0.637 0.500
Tm1 0.539 0.461 0.000
Tm2 0.461 0.000 0.539
Tm3 0.000 0.539 0.461
B1 0.500 0.500 0.500
B2 0.960 0.040 0.500
B3 0.500 0.960 0.040
B4 0.040 0.500 0.960
Pr1 0.000 0.000 0.000